First-principles (PBE-GGA) data for a geometry-optimized La6Pr2NdTm structure, as listed in Alexandria via LeMat-Bulk.

Summary:
Symmetry: C2/c, No. 15
E (eV/cell): -94.6
Calculated formation energy (kJ/mol of atoms): 10.27
Crystal system: monoclinic

Cell and atoms, written as extended XYZ:
```
20
Lattice="9.074 -1.508 -1.565 1.178 8.913 -1.887 1.178 -2.216 8.837" Properties=species:S:1:pos:R:3 pbc="T T T"
La 1.852 -1.173 6.572
La 5.040 -0.668 7.095
La 9.577 6.361 -1.188
La 6.389 5.856 -1.711
La 3.477 -1.246 3.569
La 3.415 2.329 7.280
La 7.952 6.434 1.815
La 8.014 2.859 -1.896
La 2.197 5.329 2.287
La 4.695 3.855 0.757
La 9.232 -0.141 3.097
La 6.734 1.334 4.627
Pr 5.719 4.850 4.039
Pr 1.173 2.086 1.170
Pr 5.710 0.338 1.345
Pr 10.256 3.102 4.214
Nd 3.446 7.754 -1.525
Nd 7.983 -2.566 6.909
Tm 3.446 2.204 3.822
Tm 7.983 2.984 1.562
```